VASP calculation (PBEsol) on crystalline NbPAuS2 at its relaxed geometry.

Cell lengths 4.6514, 4.6710, 4.6710 Å; angles 90.00, 90.00, 90.00 degrees
Last column: magnetic moment on the atom in μB.
Atoms (fractional coordinates):
S  0.0000  0.5000  0.0000  -0.14
S  0.0000  0.0000  0.5000  -0.14
Nb  0.5000  0.5000  0.5000  1.82
Au  0.0000  0.0000  0.0000  -0.03
P  0.5000  0.0000  0.0000  -0.21

Its density of states at the Fermi level is 4.77 states/eV/f.u. The value obtained for the total magnetization is 0.278 μB per atom. As for the total energy: -4.88 eV per atom. Its raw formation energy is 979 meV/atom. As for the symmetry: P4/mmm (123).

VASP calculation (PBEsol) on crystalline NbSbP2Au at its relaxed geometry.

Cell lengths 4.8987, 4.8987, 4.9998 Å; angles 90.00, 90.00, 90.00 degrees
Last column: magnetic moment on the atom in μB.
Atoms (fractional coordinates):
Sb  0.0000  0.0000  0.0000  0.01
Nb  0.5000  0.5000  0.5000  2.23
P  0.5000  0.0000  0.0000  -0.12
P  0.0000  0.5000  0.0000  -0.12
Au  0.0000  0.0000  0.5000  -0.04

Its density of states at the Fermi level is 5.14 states/eV/f.u. The value obtained for the total magnetization is 0.469 μB per atom. As for the total energy: -4.75 eV per atom. Its raw formation energy is 1423 meV/atom. As for the symmetry: P4/mmm (123).

VASP calculation (PBEsol) on crystalline NbPd3Au at its relaxed geometry.

Cell lengths 4.7206, 4.7206, 4.7206 Å; angles 90.00, 90.00, 90.00 degrees
Atoms (fractional coordinates):
Nb  0.0000  0.0000  0.0000
Pd  0.5000  0.0000  0.0000
Pd  0.0000  0.0000  0.5000
Pd  0.0000  0.5000  0.0000
Au  0.5000  0.5000  0.5000

Its density of states at the Fermi level is 3.86 states/eV/f.u. The value obtained for the total magnetization is 0.000 μB per atom. As for the total energy: -5.40 eV per atom. As for the symmetry: Pm-3m (221). The formation energy is 1.1266 eV per atom.

VASP calculation (PBEsol) on crystalline NbSiPd2Au at its relaxed geometry.

Cell lengths 4.7174, 4.7174, 4.8079 Å; angles 90.00, 90.00, 90.00 degrees
Atoms (fractional coordinates):
Pd  0.0000  0.5000  0.0000
Pd  0.5000  0.0000  0.0000
Au  0.5000  0.5000  0.5000
Si  0.0000  0.0000  0.5000
Nb  0.0000  0.0000  0.0000

Its density of states at the Fermi level is 3.67 states/eV/f.u. The value obtained for the total magnetization is 0.000 μB per atom. As for the total energy: -5.33 eV per atom. Its raw formation energy is 1154 meV/atom. As for the symmetry: P4/mmm (123).

VASP calculation (PBEsol) on crystalline Nb2Pt2Au at its relaxed geometry.

Cell lengths 2.8070, 7.7731, 7.7731 Å; angles 90.00, 90.00, 90.00 degrees
Atoms (fractional coordinates):
Nb  0.5000  0.3286  0.1714
Nb  0.5000  0.8286  0.3286
Nb  0.5000  0.1714  0.6714
Nb  0.5000  0.6714  0.8286
Pt  0.0000  0.1245  0.3755
Pt  0.0000  0.6245  0.1245
Pt  0.0000  0.3755  0.8755
Pt  0.0000  0.8755  0.6245
Au  0.0000  0.5000  0.5000
Au  0.0000  0.0000  0.0000

Its density of states at the Fermi level is 2.34 states/eV/f.u. The value obtained for the total magnetization is 0.000 μB per atom. As for the total energy: -8.32 eV per atom. As for the symmetry: P4/mbm (127). The formation energy is -0.4253 eV per atom.

VASP calculation (PBEsol) on crystalline Nb2Rh2Au at its relaxed geometry.

Cell lengths 2.9459, 7.4198, 7.4198 Å; angles 90.00, 90.00, 90.00 degrees
Atoms (fractional coordinates):
Rh  0.0000  0.6294  0.1294
Rh  0.0000  0.1294  0.3706
Rh  0.0000  0.8706  0.6294
Rh  0.0000  0.3706  0.8706
Au  0.0000  0.0000  0.0000
Au  0.0000  0.5000  0.5000
Nb  0.5000  0.8304  0.3304
Nb  0.5000  0.3304  0.1696
Nb  0.5000  0.1696  0.6696
Nb  0.5000  0.6696  0.8304

Its density of states at the Fermi level is 3.88 states/eV/f.u. The value obtained for the total magnetization is 0.000 μB per atom. As for the total energy: -8.66 eV per atom. As for the symmetry: P4/mbm (127). The formation energy is -0.2868 eV per atom.

Number 3 is which compound? NbPd3Au